1.
KTmBi2, optimized geometry, DFT PBE-GGA; total moment = 0.0 μB per formula unit; crystal system = trigonal; offset from the most stable computed form = 0.149 eV/atom; formation energy = -0.343 eV per atom
1.0
2.3753 1.3714 8.0034
-2.3753 1.3714 8.0034
0.0000 -2.7428 8.0034
K Tm Bi
1 1 2
Direct
0.0000 0.0000 0.0000
0.1720 0.1720 0.1720
0.5668 0.5668 0.5668
0.7751 0.7751 0.7751

***

2.
Ni2SbRh, optimized geometry, DFT PBE-GGA; electronic total energy = -5.95 eV per atom; total moment = 0.0 μB per formula unit; crystal system = tetragonal
1.0
-1.9480 1.9480 3.6716
1.9480 -1.9480 3.6716
1.9480 1.9480 -3.6716
Ni Sb Rh
2 1 1
Direct
0.0000 0.0000 0.0000
0.7500 0.2500 0.5000
0.2500 0.7500 0.5000
0.5000 0.5000 0.0000

***

3.
VCuNi2H, optimized geometry, DFT PBE-GGA; total moment = 2.3 μB per formula unit; crystal system = tetragonal; offset from the most stable computed form = 0.000 eV/atom
1.0
3.6308 0.0000 0.0000
0.0000 3.6308 0.0000
0.0000 0.0000 3.7876
V Cu Ni H
1 1 2 1
Direct
0.0000 0.0000 0.0000
0.5000 0.5000 0.0000
0.0000 0.5000 0.5000
0.5000 0.0000 0.5000
0.0000 0.0000 0.5000

***

4.
SrLi2Ag, optimized geometry, DFT PBE-GGA; total moment = 0.0 μB per formula unit; crystal system = monoclinic; formation energy = -0.042 eV per atom
1.0
4.1655 0.0000 0.0000
0.0000 4.9226 0.0000
-0.8829 0.0000 5.3510
Sr Li Ag
1 2 1
Direct
0.0000 0.0000 0.0000
0.3341 0.5000 0.6889
0.6659 0.5000 0.3111
0.5000 0.0000 0.5000

***

5.
CdBi2Pd, optimized geometry, DFT PBE-GGA; total moment = 0.0 μB per formula unit; crystal system = trigonal; formation energy = 0.203 eV per atom
1.0
1.6567 0.9565 11.1169
-1.6567 0.9565 11.1169
0.0000 -1.9129 11.1169
Cd Bi Pd
1 2 1
Direct
0.0000 0.0000 0.0000
0.4188 0.4188 0.4188
0.5812 0.5812 0.5812
0.5000 0.5000 0.5000

***

6.
SiSb2Te, optimized geometry, DFT PBE-GGA; total moment = 0.0 μB per formula unit; crystal system = tetragonal; offset from the most stable computed form = 0.126 eV/atom
1.0
4.2734 0.0000 0.0000
0.0000 4.2734 0.0000
0.0000 0.0000 6.0474
Si Sb Te
1 2 1
Direct
0.0000 0.0000 0.0000
0.0000 0.0000 0.5000
0.5000 0.5000 0.5000
0.5000 0.5000 0.0000

***

no.,N(E_F) (states/eV per cell)
1,3.18
2,4.12
3,5.33
4,2.31
5,2.57
6,1.93